# 1
First-principles (PBE) data for crystalline LiHf2ZrPd at its relaxed geometry, as listed in Alexandria via LeMat-Bulk.

Fermi-level density of states = 6.6 states/eV/cell
size of the total moment = 0.00 μB per formula unit
ΔH_f (0 K) = 44.53 kJ/mol of atoms
calculated total energy = -6.65 eV per atom

Structure (POSCAR):
```
LiHf2ZrPd
1.0
-1.760 -1.141 4.278
3.759 -2.818 0.794
2.084 3.267 1.729
Hf Zr Pd Li
2 1 1 1
direct
0.000 0.500 0.000
0.500 0.000 0.000
0.500 0.500 0.500
0.000 0.000 0.500
0.000 0.000 0.000
```



# 2
First-principles (PBE) data for crystalline CaTcSe2 at its relaxed geometry, as listed in Alexandria via LeMat-Bulk.

energy above the lowest structure with this stoichiometry = 1.517 eV per formula unit
Fermi-level density of states = 4.0 states/eV/cell
size of the total moment = 0.53 μB per formula unit
E_form (uncorrected) = -0.37 eV per atom
calculated total energy = -5.21 eV per atom

Structure (POSCAR):
```
CaTcSe2
1.0
-0.571 -0.431 -3.284
2.891 -1.695 0.258
-3.511 -5.781 1.369
Ca Tc Se
1 1 2
direct
0.500 0.500 0.750
0.500 0.500 0.250
0.000 0.000 0.031
0.000 0.000 0.469
```



# 3
First-principles (PBE) data for crystalline UCuAsS at its relaxed geometry, as listed in Alexandria via LeMat-Bulk.

Fermi-level density of states = 13.4 states/eV/cell
size of the total moment = 1.99 μB per formula unit
E_form (uncorrected) = -0.70 eV per atom
calculated total energy = -6.74 eV per atom

Structure (POSCAR):
```
UCuAsS
1.0
-2.267 2.781 2.038
0.040 -2.418 3.344
7.195 3.875 2.715
U Cu As S
2 2 2 2
direct
0.500 0.000 0.705
0.000 0.500 0.295
0.500 0.500 0.000
0.000 0.000 0.000
0.000 0.500 0.831
0.500 0.000 0.169
0.000 0.000 0.500
0.500 0.500 0.500
```



# 4
First-principles (PBE) data for crystalline InAsCl2 at its relaxed geometry, as listed in Alexandria via LeMat-Bulk.

energy above the lowest structure with this stoichiometry = 1.640 eV per formula unit
Fermi-level density of states = 1.8 states/eV/cell
size of the total moment = 0.00 μB per formula unit
E_form (uncorrected) = -0.07 eV per atom
calculated total energy = -2.84 eV per atom

Structure (POSCAR):
```
InAsCl2
1.0
-8.838 2.654 -1.745
-8.800 -0.390 -3.258
-9.390 -0.159 0.082
As Cl In
1 2 1
direct
0.750 0.750 0.750
0.004 0.004 0.004
0.496 0.496 0.496
0.250 0.250 0.250
```



# 5
First-principles (PBE) data for crystalline ErMgAg at its relaxed geometry, as listed in Alexandria via LeMat-Bulk.

Fermi-level density of states = 2.6 states/eV/cell
size of the total moment = 0.00 μB per formula unit
ΔH_f (0 K) = -6.35 kJ/mol of atoms
calculated total energy = -3.07 eV per atom

Structure (POSCAR):
```
ErMgAg
1.0
-2.903 -2.541 -2.868
1.223 -4.459 -1.317
-2.412 -3.771 1.753
Mg Ag Er
1 1 1
direct
0.500 0.500 0.500
0.250 0.250 0.250
0.000 0.000 0.000
```



# 6
First-principles (PBE) data for crystalline NaTb2HoTe4 at its relaxed geometry, as listed in Alexandria via LeMat-Bulk.

Fermi-level density of states = 3.2 states/eV/cell
size of the total moment = 0.00 μB per formula unit
E_form (uncorrected) = -1.31 eV per atom
calculated total energy = -4.77 eV per atom

Structure (POSCAR):
```
NaTb2HoTe4
1.0
4.353 0.000 0.000
0.000 7.623 0.184
0.000 -2.643 7.159
Na Tb Ho Te
1 2 1 4
direct
0.000 0.000 0.000
0.500 0.000 0.500
0.000 0.500 0.500
0.500 0.500 0.000
0.500 0.253 0.251
0.500 0.747 0.749
0.000 0.252 0.753
0.000 0.748 0.247
```



# 7
First-principles (PBE) data for crystalline AlReAs2 at its relaxed geometry, as listed in Alexandria via LeMat-Bulk.

energy above the lowest structure with this stoichiometry = 1.753 eV per formula unit
Fermi-level density of states = 2.5 states/eV/cell
size of the total moment = 0.00 μB per formula unit
ΔH_f (0 K) = 45.48 kJ/mol of atoms
calculated total energy = -5.90 eV per atom

Structure (POSCAR):
```
AlReAs2
1.0
-1.900 1.164 2.367
2.798 -1.812 3.137
2.323 3.682 0.055
Re As Al
1 2 1
direct
0.500 0.000 0.500
0.000 0.000 0.000
0.500 0.500 0.000
0.000 0.500 0.500
```



# 8
First-principles (PBE) data for crystalline Sr2Zr2Sc at its relaxed geometry, as listed in Alexandria via LeMat-Bulk.

energy above the lowest structure with this stoichiometry = 0.000 eV per formula unit
Fermi-level density of states = 7.0 states/eV/cell
size of the total moment = 1.30 μB per formula unit
ΔH_f (0 K) = 59.90 kJ/mol of atoms
calculated total energy = -4.74 eV per atom

Structure (POSCAR):
```
Sr2Zr2Sc
1.0
-2.520 -0.907 2.933
-1.421 -3.020 -2.154
5.908 -8.958 4.997
Sc Sr Zr
1 2 2
direct
0.000 0.000 0.000
0.390 0.390 0.221
0.610 0.610 0.779
0.750 0.250 0.500
0.250 0.750 0.500
```



# 9
First-principles (PBE) data for crystalline Nd2EuBe at its relaxed geometry, as listed in Alexandria via LeMat-Bulk.

energy above the lowest structure with this stoichiometry = 2.534 eV per formula unit
Fermi-level density of states = 6.5 states/eV/cell
size of the total moment = 7.23 μB per formula unit
ΔH_f (0 K) = 73.81 kJ/mol of atoms
calculated total energy = -5.12 eV per atom

Structure (POSCAR):
```
Nd2EuBe
1.0
3.523 0.000 0.000
1.762 3.051 0.000
1.762 1.017 12.068
Eu Be Nd
1 1 2
direct
0.500 0.500 0.500
0.000 0.000 0.000
0.081 0.081 0.756
0.919 0.919 0.244
```



# 10
First-principles (PBE) data for crystalline Pr4Ag2H at its relaxed geometry, as listed in Alexandria via LeMat-Bulk.

Fermi-level density of states = 8.6 states/eV/cell
size of the total moment = 0.00 μB per formula unit
calculated total energy = -4.19 eV per atom

Structure (POSCAR):
```
Pr4Ag2H
1.0
-1.125 1.051 4.633
-4.751 -0.218 -1.105
2.888 -8.121 -0.029
Pr H Ag
4 1 2
direct
0.816 0.816 0.631
0.184 0.184 0.369
0.000 0.500 0.000
0.500 0.000 0.000
0.000 0.000 0.000
0.630 0.630 0.260
0.370 0.370 0.740
```



# 11
First-principles (PBE) data for crystalline CsMgTiF6 at its relaxed geometry, as listed in Alexandria via LeMat-Bulk.

Fermi-level density of states = 8.8 states/eV/cell
size of the total moment = 1.00 μB per formula unit
E_form (uncorrected) = -3.33 eV per atom
calculated total energy = -5.73 eV per atom

Structure (POSCAR):
```
CsMgTiF6
1.0
-1.494 -4.207 5.895
-0.230 -6.149 -4.446
6.032 4.426 0.049
Cs Mg Ti F
2 2 2 12
direct
0.890 0.640 0.779
0.110 0.360 0.221
0.500 0.000 0.500
0.000 0.000 0.500
0.500 0.500 0.000
0.500 0.000 0.000
0.436 0.686 0.873
0.814 0.064 0.629
0.815 0.066 0.246
0.431 0.680 0.246
0.431 0.066 0.246
0.815 0.680 0.246
0.564 0.314 0.127
0.186 0.936 0.371
0.185 0.934 0.754
0.569 0.320 0.754
0.569 0.934 0.754
0.185 0.320 0.754
```



# 12
First-principles (PBE) data for crystalline ScCoNiSb at its relaxed geometry, as listed in Alexandria via LeMat-Bulk.

Fermi-level density of states = 4.3 states/eV/cell
size of the total moment = 0.00 μB per formula unit
E_form (uncorrected) = -0.43 eV per atom
calculated total energy = -6.27 eV per atom

Structure (POSCAR):
```
ScCoNiSb
1.0
4.399 0.000 0.000
2.200 3.810 0.000
2.200 1.270 3.592
Sc Sb Co Ni
1 1 1 1
direct
0.500 0.500 0.500
0.000 0.000 0.000
0.250 0.250 0.250
0.750 0.750 0.750
```



# 13
First-principles (PBE) data for crystalline Y3SnH at its relaxed geometry, as listed in Alexandria via LeMat-Bulk.

energy above the lowest structure with this stoichiometry = 0.000 eV per formula unit
Fermi-level density of states = 6.0 states/eV/cell
size of the total moment = 0.75 μB per formula unit
calculated total energy = -5.84 eV per atom

Structure (POSCAR):
```
Y3SnH
1.0
4.824 0.000 0.000
0.000 4.824 0.000
0.000 0.000 4.824
Y H Sn
3 1 1
direct
0.000 0.500 0.000
0.000 0.000 0.500
0.500 0.000 0.000
0.000 0.000 0.000
0.500 0.500 0.500
```